Record 1
Sr2In2F | GGA-PBE | optimized geometry

abc: 7.2382 7.2382 5.8142
angles: 90.00 90.00 90.00
Space group P4/mbm (No. 127)
One atom of each set of equivalent atoms:
Sr 0.1845 0.3155 0.0000
In 0.1423 0.6423 0.5000
F 0.0000 0.0000 0.0000

DOS(E_F) ... 0.78 states/eV per atom
Uncorrected energy ... -3.2631 eV/atom

---

Record 2
SrIn2F | GGA-PBE | optimized geometry

abc: 7.6392 7.6392 7.6392
angles: 90.00 90.00 90.00
Space group Fm-3m (No. 225)
One atom of each set of equivalent atoms:
Sr 0.0000 0.0000 0.0000
In 0.2500 0.2500 0.2500
F 0.0000 0.0000 0.5000

DOS(E_F) ... 1.22 states/eV per atom
E above lowest polymorph ... 686 meV/atom

---

Record 3
Sr2InF6 | GGA-PBE | optimized geometry

abc: 6.2689 6.1793 9.7933
angles: 90.00 116.48 90.00
Space group P2_1/c (No. 14)
One atom of each set of equivalent atoms:
Sr 0.1824 0.0782 0.2244
In 0.5000 0.0000 0.0000
F 0.1448 0.1781 0.9445
F 0.2038 0.7310 0.8817
F 0.4762 0.1294 0.7777

DOS(E_F) ... 0.38 states/eV per atom
Uncorrected energy ... -5.1135 eV/atom

---

Record 4
SrInF2 | GGA-PBE | optimized geometry

abc: 6.8242 6.8242 6.8242
angles: 90.00 90.00 90.00
Space group Fm-3m (No. 225)
One atom of each set of equivalent atoms:
Sr 0.0000 0.0000 0.0000
In 0.0000 0.0000 0.5000
F 0.2500 0.2500 0.2500

DOS(E_F) ... 0.82 states/eV per atom
E above lowest polymorph ... 650 meV/atom

---

Record 5
SrInF6 | GGA-PBE | optimized geometry

abc: 4.0494 6.8003 9.5258
angles: 90.00 90.00 90.00
Space group Amm2 (No. 38)
One atom of each set of equivalent atoms:
Sr 0.0000 0.0000 0.0000
In 0.5000 0.0000 0.3724
F 0.0000 0.0000 0.3127
F 0.0000 0.1429 0.5832
F 0.5000 0.0000 0.1497
F 0.5000 0.2030 0.9001

Uncorrected energy ... -4.5426 eV/atom

---

Record 6
Sr2InF8 | GGA-PBE | optimized geometry

abc: 14.2285 4.1080 5.5769
angles: 90.00 111.76 90.00
Space group C2/m (No. 12)
One atom of each set of equivalent atoms:
Sr 0.1664 0.0000 0.1747
In 0.0000 0.5000 0.5000
F 0.0119 0.0000 0.2924
F 0.0963 0.5000 0.8996
F 0.1426 0.5000 0.4516
F 0.2251 0.0000 0.8006

DOS(E_F) ... 0.73 states/eV per atom
E above lowest polymorph ... 0 meV/atom

---

Record 7
Sr2InF2 | GGA-PBE | optimized geometry

abc: 8.4710 8.4710 3.3375
angles: 90.00 90.00 90.00
Space group P4/mbm (No. 127)
One atom of each set of equivalent atoms:
Sr 0.1419 0.3581 0.0000
In 0.0000 0.0000 0.5000
F 0.1000 0.6000 0.5000

DOS(E_F) ... 0.30 states/eV per atom
E above lowest polymorph ... 51 meV/atom

---

Record 8
SrInF2 | GGA-PBE | optimized geometry

abc: 4.5247 4.5247 18.3026
angles: 90.00 90.00 120.00
Space group R-3m (No. 166, hexagonal axes)
One atom of each set of equivalent atoms:
Sr 0.0000 0.0000 0.0000
In 0.0000 0.0000 0.5000
F 0.0000 0.0000 0.1243

DOS(E_F) ... 0.35 states/eV per atom
E above lowest polymorph ... 608 meV/atom